Here is a geometry-optimized Mo2WAu structure from the Alexandria database. Energies are from GGA-PBE.

abc: 2.7370 2.7370 9.1333
angles: 90.00 90.00 106.63
Last column: nearest neighbours and their distance in Å.
Atoms (fractional coordinates):
Mo  0.0000  0.0000  0.4913  4 Mo 2.74, 2 W 2.74, 2 Au 2.87
Mo  0.0000  0.0000  0.0087  4 Mo 2.74, 2 W 2.74, 2 Au 2.87
W  0.5000  0.5000  0.2500  4 W 2.74, 4 Mo 2.74
Au  0.5000  0.5000  0.7500  4 Au 2.74, 4 Mo 2.87

## Properties
Formation energy ... 0.15 eV/atom
Distance to the lowest polymorph of the same formula ... 0 meV per atom
SG ... Cmmm (65)